First-principles (GGA-PBE) data for an optimized crystal structure of Rb2ScRe, as listed in Alexandria via LeMat-Bulk.

Structure (CIF):
```
data_Rb2ScRe
_space_group_name_H-M_alt 'F m -3 m'
_space_group_IT_number 225
_space_group_name_Hall '-F 4 2 3'
_cell_length_a 8.2291
_cell_length_b 8.2291
_cell_length_c 8.2291
_cell_angle_alpha 90.00
_cell_angle_beta 90.00
_cell_angle_gamma 90.00
loop_
_atom_site_label
_atom_site_fract_x
_atom_site_fract_y
_atom_site_fract_z
Rb1 0.2500 0.2500 0.2500
Sc1 0.0000 0.0000 0.0000
Re1 0.0000 0.0000 0.5000
```

Results
The value obtained for the volume is 139.3 Å³/f.u. For the total magnetic moment, the calculation gives 7.75 Bohr magnetons per cell. The calculated formation energy is 1.945 eV per atom. Its density is 4793 kg/m³.

First-principles (GGA-PBE) data for an optimized crystal structure of RbRhW3, as listed in Alexandria via LeMat-Bulk.

Structure (CIF):
```
data_RbRhW3
_space_group_name_H-M_alt 'P m -3 m'
_space_group_IT_number 221
_space_group_name_Hall '-P 4 2 3'
_cell_length_a 4.6093
_cell_length_b 4.6093
_cell_length_c 4.6093
_cell_angle_alpha 90.00
_cell_angle_beta 90.00
_cell_angle_gamma 90.00
loop_
_atom_site_label
_atom_site_fract_x
_atom_site_fract_y
_atom_site_fract_z
Rb1 0.0000 0.0000 0.0000
Rh1 0.5000 0.5000 0.5000
W1 0.0000 0.0000 0.5000
```

Results
The value obtained for the volume is 97.9 Å³/f.u. For the total magnetic moment, the calculation gives 0.00 Bohr magnetons per cell. The calculated formation energy is 3.891 eV per atom. Its density is 12546 kg/m³.

First-principles (GGA-PBE) data for an optimized crystal structure of SrPmPdRh, as listed in Alexandria via LeMat-Bulk.

Structure (CIF):
```
data_SrPmPdRh
_space_group_name_H-M_alt 'F -4 3 m'
_space_group_IT_number 216
_space_group_name_Hall 'F -4 2 3'
_cell_length_a 7.2061
_cell_length_b 7.2061
_cell_length_c 7.2061
_cell_angle_alpha 90.00
_cell_angle_beta 90.00
_cell_angle_gamma 90.00
loop_
_atom_site_label
_atom_site_fract_x
_atom_site_fract_y
_atom_site_fract_z
Sr1 0.0000 0.0000 0.0000
Pm1 0.0000 0.0000 0.5000
Pd1 0.2500 0.2500 0.2500
Rh1 0.2500 0.2500 0.7500
```

Results
The value obtained for the volume is 93.5 Å³/f.u. For the total magnetic moment, the calculation gives 0.00 Bohr magnetons per cell. The calculated formation energy is -0.508 eV per atom. Its density is 7845 kg/m³.